1.
A plane-wave DFT calculation with PBE was carried out for an optimized crystal structure of Rb8IBr6.

Summary:
Size of the total moment   0.0 μB per cell
ΔE_f (raw)   -1497 meV/atom
Energy   -2.79 eV/atom
Density of states at the Fermi level   0.14 states/eV per atom

Cell lengths 12.7108, 12.7108, 5.1923 Å; angles 90.00, 90.00, 120.00 degrees
Space group P-3 (No. 147)
Asymmetric unit:
Rb 0.0360 0.3300 0.2421
Rb 0.3333 0.6667 0.7521
I 0.0000 0.0000 0.0000
Br 0.1309 0.6564 0.2558

2.
A plane-wave DFT calculation with PBE was carried out for an optimized crystal structure of Rb4I2Br.

Summary:
Size of the total moment   0.0 μB per cell
ΔE_f (raw)   -1329 meV/atom
Energy   -2.56 eV/atom
E above lowest polymorph   0.0 kJ/mol of formula units
Density of states at the Fermi level   0.21 states/eV per atom

Cell lengths 5.1254, 5.1254, 51.6189 Å; angles 90.00, 90.00, 120.00 degrees
Space group R-3m (No. 166, hexagonal axes)
Asymmetric unit:
Rb 0.0000 0.0000 0.1252
Rb 0.0000 0.0000 0.3713
I 0.0000 0.0000 0.2520
Br 0.0000 0.0000 0.0000

3.
A plane-wave DFT calculation with PBE was carried out for an optimized crystal structure of RbI2Br2.

Summary:
Size of the total moment   2.0 μB per cell
ΔE_f (raw)   -488 meV/atom
Energy   -1.97 eV/atom
E above lowest polymorph   79.3 kJ/mol of formula units
Density of states at the Fermi level   0.01 states/eV per atom

Cell lengths 9.6462, 9.6462, 4.4843 Å; angles 90.00, 90.00, 90.00 degrees
Space group P4/mbm (No. 127)
Asymmetric unit:
Rb 0.0000 0.0000 0.0000
I 0.1000 0.4000 0.0000
Br 0.2241 0.7241 0.5000

The highest ΔE_f (raw) belongs to which entry? RbI2Br2

ΔE_f (raw) of number 2 (Rb4I2Br)? -1329 meV/atom